# NdScCr2O6, optimized geometry, DFT PBE+U
data_NdScCr2O6
_chemical_formula_sum 'Nd3 Sc3 Cr6 O18'
_cell_length_a 5.4235
_cell_length_b 5.4235
_cell_length_c 13.7058
_cell_angle_alpha 90.00
_cell_angle_beta 90.00
_cell_angle_gamma 120.00
_symmetry_space_group_name_H-M 'R 3'
_symmetry_Int_Tables_number 146
_symmetry_space_group_name_Hall 'R 3'
loop_
_atom_site_label
_atom_site_type_symbol
_atom_site_fract_x
_atom_site_fract_y
_atom_site_fract_z
_atom_site_occupancy
Nd1 Nd 0.0000 0.0000 0.0000 1
Sc1 Sc 0.0000 0.0000 0.4756 1
Cr1 Cr 0.0000 0.0000 0.2625 1
Cr2 Cr 0.0000 0.0000 0.7678 1
O1 O 0.0083 0.3799 0.5213 1
O2 O 0.0218 0.5946 0.0274 1
# - Density: 5.55 Mg/m³
# - Size of the total moment: 0.600 μB/atom
# - Total energy: -248.09 eV for the cell shown